The following is a DFT calculation (GGA-PBE) of a relaxed Pr5Nd7Tm crystal.

POSCAR file:
```
Pr5Nd7Tm
1.0
6.9246 0.0000 0.0000
3.4623 8.2341 0.2858
3.4623 0.2592 8.2350
Pr Nd Tm
5 7 1
direct
0.4441 0.0036 0.5591
0.9932 0.0036 0.5591
0.4441 0.5591 0.0036
0.9932 0.5591 0.0036
0.7670 0.7330 0.7330
0.7347 0.2653 0.2653
0.4280 0.5720 0.5720
0.9787 0.3367 0.7060
0.9787 0.7060 0.3367
0.2378 0.2622 0.2622
0.4822 0.8506 0.1849
0.4822 0.1849 0.8506
0.0361 0.9639 0.9639
```

Output
- symmetry = Imm2, No. 44
- total moment (μB per atom) = 0.00

=====

The following is a DFT calculation (GGA-PBE) of a relaxed Pr6NdTm8 crystal.

POSCAR file:
```
Pr6NdTm8
1.0
9.0636 0.0000 0.0000
4.5318 7.8493 0.0000
4.5318 2.6164 7.0146
Pr Nd Tm
6 1 8
direct
0.4637 0.9001 0.8641
0.0999 0.2280 0.1359
0.2280 0.5363 0.1359
0.7720 0.4637 0.8641
0.9001 0.7720 0.8641
0.5363 0.0999 0.1359
0.0000 0.0000 0.0000
0.7113 0.1129 0.4226
0.8871 0.2468 0.5774
0.2468 0.2887 0.5774
0.5764 0.5764 0.2707
0.4236 0.4236 0.7293
0.7532 0.7113 0.4226
0.1129 0.7532 0.4226
0.2887 0.8871 0.5774
```

Output
- symmetry = R-3, No. 148
- total moment (μB per atom) = 0.00

=====

The following is a DFT calculation (GGA-PBE) of a relaxed PrNd8Tm5 crystal.

POSCAR file:
```
PrNd8Tm5
1.0
-4.8166 4.8166 5.2029
4.8166 -4.8166 5.2029
4.8166 4.8166 -5.2029
Pr Nd Tm
1 8 5
direct
0.2500 0.7500 0.5000
0.1611 0.4286 0.0866
0.9255 0.8389 0.2675
0.7263 0.4690 0.3957
0.6694 0.2737 0.7426
0.5310 0.9268 0.2574
0.5714 0.6581 0.7325
0.3419 0.0745 0.9134
0.0732 0.3306 0.6043
0.0382 0.7248 0.9077
0.8695 0.9618 0.6867
0.8172 0.1305 0.0923
0.5000 0.5000 0.0000
0.2752 0.1828 0.3133
```

Output
- symmetry = I-4, No. 82
- total moment (μB per atom) = 0.00

=====

Per-record DFT total energy, eV/cell: -58.766; -67.314; -61.969